a | MnBeCdO2: relaxed, PBE+U.

Results
Crystal system: tetragonal
Total magnetization: 4.995 μB per formula unit

Cell lengths 4.2809, 4.2809, 4.4181 Å; angles 90.00, 90.00, 90.00 degrees
Last column: nearest neighbours and their distance in Å.
Space group P4/mmm (No. 123)
Unique sites:
Mn 0.0000 0.0000 0.0000 x1  4 Be 3.03, 8 O 3.08
Be 0.5000 0.5000 0.0000 x1  2 Cd 2.21
Cd 0.5000 0.5000 0.5000 x1  4 O 2.14, 2 Be 2.21
O 0.0000 0.5000 0.5000 x2  2 Cd 2.14

---

b | MnBeCdO2: relaxed, PBE+U.

Results
Crystal system: tetragonal
Total magnetization: 4.885 μB per formula unit

Cell lengths 3.6996, 3.6996, 4.7445 Å; angles 90.00, 90.00, 90.00 degrees
Last column: nearest neighbours and their distance in Å.
Space group P4/mmm (No. 123)
Unique sites:
Mn 0.0000 0.0000 0.0000 x1  4 Cd 2.62
Be 0.5000 0.5000 0.5000 x1  4 O 1.85
Cd 0.5000 0.5000 0.0000 x1  2 Be 2.37, 4 Mn 2.62
O 0.0000 0.5000 0.5000 x2  2 Be 1.85

---

Least stable structure among those shown: a.